--- A ---
Entry from Alexandria: Rb3GaAu after structural relaxation (PBE). Values from VASP.

Computed properties:
- crystal system = monoclinic
- V (Å³/atom) = 45.6
- SG = P2_1/c
- size of the total moment (Bohr magnetons per cell) = 0.00

Cell and atoms, written as Quantum ESPRESSO input:
```
&SYSTEM
  ibrav = 0, nat = 20, ntyp = 3
/
ATOMIC_SPECIES
Rb 85.47 Rb.upf
Au 196.97 Au.upf
Ga 69.72 Ga.upf
CELL_PARAMETERS angstrom
-8.8335 0.2152 6.0935
-2.6151 -6.2749 -3.5693
4.9907 -6.4752 7.4634
ATOMIC_POSITIONS crystal
Rb 0.4476 0.2677 0.4070
Rb 0.4580 0.2736 0.8420
Rb 0.5420 0.7264 0.1580
Rb 0.0524 0.2677 0.9070
Rb 0.9476 0.7323 0.0930
Rb 0.0420 0.2736 0.3420
Rb 0.2029 0.7682 0.3748
Rb 0.9580 0.7264 0.6580
Rb 0.5524 0.7323 0.5930
Rb 0.7971 0.2318 0.6252
Rb 0.7029 0.2318 0.1252
Rb 0.2971 0.7682 0.8748
Au 0.2315 0.4381 0.6268
Au 0.2685 0.4381 0.1268
Au 0.7315 0.5619 0.8732
Au 0.7685 0.5619 0.3732
Ga 0.1932 0.1143 0.6260
Ga 0.8068 0.8857 0.3740
Ga 0.6932 0.8857 0.8740
Ga 0.3068 0.1143 0.1260
```

--- B ---
Entry from Alexandria: Rb3GaAu after structural relaxation (PBE). Values from VASP.

Computed properties:
- crystal system = cubic
- V (Å³/atom) = 57.1
- SG = Pm-3m
- size of the total moment (Bohr magnetons per cell) = 0.00

Cell and atoms, written as Quantum ESPRESSO input:
```
&SYSTEM
  ibrav = 0, nat = 5, ntyp = 3
/
ATOMIC_SPECIES
Ga 69.72 Ga.upf
Rb 85.47 Rb.upf
Au 196.97 Au.upf
CELL_PARAMETERS angstrom
-2.7430 -0.1152 -5.9858
-3.4940 -5.3158 1.7034
-4.8617 3.8854 2.1531
ATOMIC_POSITIONS crystal
Ga 0.5000 0.5000 0.5000
Rb 0.0000 0.0000 0.5000
Rb 0.0000 0.5000 0.0000
Rb 0.5000 0.0000 0.0000
Au 0.0000 0.0000 0.0000
```

Order of stability, best first: A, B